! Ag3SnF6 GGA-PBE relaxed; values from VASP
! crystal system: monoclinic
! E_form (uncorrected): -149.2 kJ/mol of atoms
! uncorrected energy: -3.9244 eV/atom
! excess energy over the best structure of this formula in the dataset: 25.4 meV/atom
&SYSTEM
  ibrav = 0, nat = 20, ntyp = 3
/
ATOMIC_SPECIES
Ag 107.87 Ag.upf
Sn 118.71 Sn.upf
F 19.00 F.upf
CELL_PARAMETERS angstrom
5.9467 0.0000 0.0000
0.0000 6.4637 0.0000
-4.9045 0.0000 8.4080
ATOMIC_POSITIONS angstrom
Ag 0.0000 0.0000 0.0000
Ag -2.4523 3.2319 4.2040
Ag -2.4928 0.4742 6.2900
Ag -0.0405 2.7577 2.0860
Ag 1.0826 3.7061 6.3220
Ag 3.5349 5.9895 2.1180
Sn 0.5211 0.0000 4.2040
Sn 2.9733 3.2319 0.0000
F -1.2359 1.0614 3.8039
F -3.6882 2.1705 8.0079
F -0.4554 4.7421 3.5698
F -2.9076 4.9535 7.7738
F 1.1624 0.3715 2.2600
F -1.2899 2.8604 6.4640
F 2.3320 3.6034 1.9440
F -0.1203 6.0923 6.1480
F 3.9497 1.5102 0.6342
F 1.4975 1.7217 4.8382
F 4.7303 4.2933 0.4001
F 2.2780 5.4023 4.6041

***

! CsTa3Ni GGA-PBE relaxed; values from VASP
! crystal system: cubic
! energy relative to the elements: 1.5979 eV per atom
! uncorrected energy: -6.8407 eV/atom
! excess energy over the best structure of this formula in the dataset: 0.0 meV/atom
&SYSTEM
  ibrav = 0, nat = 5, ntyp = 3
/
ATOMIC_SPECIES
Cs 132.91 Cs.upf
Ta 180.95 Ta.upf
Ni 58.69 Ni.upf
CELL_PARAMETERS angstrom
4.8231 0.0000 0.0000
0.0000 4.8231 0.0000
0.0000 0.0000 4.8231
ATOMIC_POSITIONS angstrom
Cs 0.0000 0.0000 0.0000
Ta 0.0000 2.4116 2.4116
Ta 2.4116 0.0000 2.4116
Ta 2.4116 2.4116 0.0000
Ni 2.4116 2.4116 2.4116

***

! Y2ZrCr GGA-PBE relaxed; values from VASP
! crystal system: orthorhombic
! energy relative to the elements: 0.3764 eV per atom
! uncorrected energy: -7.3985 eV/atom
! excess energy over the best structure of this formula in the dataset: 145.2 meV/atom
&SYSTEM
  ibrav = 0, nat = 4, ntyp = 3
/
ATOMIC_SPECIES
Y 88.91 Y.upf
Zr 91.22 Zr.upf
Cr 52.00 Cr.upf
CELL_PARAMETERS angstrom
3.5306 -4.1257 0.0000
3.5306 4.1257 0.0000
0.0000 0.0000 3.4819
ATOMIC_POSITIONS angstrom
Y 1.7653 2.0629 0.0000
Y 1.7653 -2.0629 0.0000
Zr 0.0000 0.0000 1.7409
Cr 3.5306 0.0000 1.7409

***

! LaRu GGA-PBE relaxed; values from VASP
! crystal system: orthorhombic
! energy relative to the elements: -0.0582 eV per atom
! uncorrected energy: -7.1599 eV/atom
&SYSTEM
  ibrav = 0, nat = 6, ntyp = 2
/
ATOMIC_SPECIES
La 138.91 La.upf
Ru 101.07 Ru.upf
CELL_PARAMETERS angstrom
-1.9688 2.0289 8.5691
1.9688 -2.0289 8.5691
1.9688 2.0289 -8.5691
ATOMIC_POSITIONS angstrom
La 0.0000 0.0000 0.0000
La 1.9688 0.0000 2.9811
La 0.0000 2.0289 5.5881
Ru 1.9688 0.0000 6.3067
Ru 0.0000 0.0000 8.5691
Ru 0.0000 2.0289 2.2624

***

! Al2TlPd9 GGA-PBE relaxed; values from VASP
! crystal system: tetragonal
! energy relative to the elements: -0.4634 eV per atom
! uncorrected energy: -5.1790 eV/atom
&SYSTEM
  ibrav = 0, nat = 12, ntyp = 3
/
ATOMIC_SPECIES
Al 26.98 Al.upf
Tl 204.38 Tl.upf
Pd 106.42 Pd.upf
CELL_PARAMETERS angstrom
3.9676 0.0000 0.0000
0.0000 3.9676 0.0000
0.0000 0.0000 11.9265
ATOMIC_POSITIONS angstrom
Al 0.0000 0.0000 1.9410
Al 0.0000 0.0000 9.9855
Tl 0.0000 0.0000 5.9632
Pd 0.0000 1.9838 0.0000
Pd 0.0000 1.9838 3.7922
Pd 0.0000 1.9838 8.1343
Pd 1.9838 0.0000 0.0000
Pd 1.9838 0.0000 3.7922
Pd 1.9838 0.0000 8.1343
Pd 1.9838 1.9838 1.8931
Pd 1.9838 1.9838 5.9632
Pd 1.9838 1.9838 10.0334

***

! ScSnTe3 GGA-PBE relaxed; values from VASP
! crystal system: monoclinic
! E_form (uncorrected): -63.2 kJ/mol of atoms
! uncorrected energy: -4.6070 eV/atom
! excess energy over the best structure of this formula in the dataset: 20.2 meV/atom
&SYSTEM
  ibrav = 0, nat = 10, ntyp = 3
/
ATOMIC_SPECIES
Sc 44.96 Sc.upf
Sn 118.71 Sn.upf
Te 127.60 Te.upf
CELL_PARAMETERS angstrom
7.4651 0.0000 0.0000
0.0000 4.2904 0.0000
-1.5653 0.0000 10.0935
ATOMIC_POSITIONS angstrom
Sc 0.7346 1.0726 1.4275
Sc 5.1653 3.2178 8.6660
Sn 1.3015 1.0726 5.3778
Sn 4.5983 3.2178 4.7156
Te -0.1067 3.2178 3.3618
Te 0.2649 3.2178 9.9166
Te 2.5880 3.2178 7.0731
Te 3.3119 1.0726 3.0204
Te 5.6349 1.0726 0.1768
Te 6.0065 1.0726 6.7317

***

! LiBiIrPd GGA-PBE relaxed; values from VASP
! crystal system: cubic
! energy relative to the elements: -0.1071 eV per atom
! uncorrected energy: -5.0693 eV/atom
&SYSTEM
  ibrav = 0, nat = 4, ntyp = 4
/
ATOMIC_SPECIES
Li 6.94 Li.upf
Bi 208.98 Bi.upf
Ir 192.22 Ir.upf
Pd 106.42 Pd.upf
CELL_PARAMETERS angstrom
0.0000 3.2365 3.2365
3.2365 0.0000 3.2365
3.2365 3.2365 0.0000
ATOMIC_POSITIONS angstrom
Li 0.0000 0.0000 0.0000
Bi 3.2365 3.2365 3.2365
Ir 1.6182 1.6182 1.6182
Pd 4.8547 4.8547 4.8547

***

! CeSmHo2As4 GGA-PBE relaxed; values from VASP
! crystal system: monoclinic
! energy relative to the elements: -1.5038 eV per atom
! uncorrected energy: -6.3047 eV/atom
&SYSTEM
  ibrav = 0, nat = 8, ntyp = 4
/
ATOMIC_SPECIES
Ce 140.12 Ce.upf
Sm 150.36 Sm.upf
Ho 164.93 Ho.upf
As 74.92 As.upf
CELL_PARAMETERS angstrom
7.1894 0.0000 0.0000
0.0000 4.1591 0.0000
-2.3965 0.0000 6.7918
ATOMIC_POSITIONS angstrom
Ce 0.0000 0.0000 0.0000
Sm -1.1983 2.0795 3.3959
Ho 2.3964 0.0000 3.3959
Ho 3.5947 2.0795 0.0000
As 0.0334 0.0000 5.1193
As 1.2380 2.0795 1.7047
As 4.7595 0.0000 1.6725
As 3.5549 2.0795 5.0871

***

What is the formula in the sixth record?
ScSnTe3